(1)
# CaGa4Rh2 (PBE-GGA, relaxed)
# E   -132.1 eV per cell
# Crystal system   orthorhombic
# ΔE_f   -603.2 meV/atom
data_CaGa4Rh2
_cell_length_a 4.256
_cell_length_b 6.653
_cell_length_c 16.776
_cell_angle_alpha 90.00
_cell_angle_beta 90.00
_cell_angle_gamma 90.00
_symmetry_space_group_name_H-M 'P 1'
_symmetry_Int_Tables_number 1
loop_
_symmetry_equiv_pos_as_xyz
'x,y,z'
loop_
_atom_site_label
_atom_site_type_symbol
_atom_site_fract_x
_atom_site_fract_y
_atom_site_fract_z
Ca1 Ca 0.750 0.070 0.641
Ca2 Ca 0.250 0.930 0.359
Ca3 Ca 0.250 0.570 0.859
Ca4 Ca 0.750 0.430 0.141
Rh1 Rh 0.250 0.754 0.560
Rh2 Rh 0.750 0.246 0.440
Rh3 Rh 0.750 0.254 0.940
Rh4 Rh 0.250 0.746 0.060
Rh5 Rh 0.250 0.110 0.806
Rh6 Rh 0.750 0.890 0.194
Rh7 Rh 0.750 0.610 0.694
Rh8 Rh 0.250 0.390 0.306
Ga1 Ga 0.250 0.384 0.675
Ga2 Ga 0.750 0.616 0.325
Ga3 Ga 0.750 0.884 0.825
Ga4 Ga 0.250 0.116 0.175
Ga5 Ga 0.250 0.817 0.710
Ga6 Ga 0.750 0.183 0.290
Ga7 Ga 0.750 0.317 0.790
Ga8 Ga 0.250 0.683 0.210
Ga9 Ga 0.250 0.142 0.524
Ga10 Ga 0.750 0.858 0.476
Ga11 Ga 0.750 0.642 0.976
Ga12 Ga 0.250 0.358 0.024
Ga13 Ga 0.250 0.501 0.446
Ga14 Ga 0.750 0.499 0.554
Ga15 Ga 0.750 0.001 0.054
Ga16 Ga 0.250 0.999 0.946

***

(2)
# CaGa3Rh (PBE-GGA, relaxed)
# E   -11.9 eV per cell
# Crystal system   cubic
# ΔE_f   1309.0 meV/atom
data_CaGa3Rh
_cell_length_a 5.272
_cell_length_b 5.272
_cell_length_c 5.272
_cell_angle_alpha 90.00
_cell_angle_beta 90.00
_cell_angle_gamma 90.00
_symmetry_space_group_name_H-M 'P 1'
_symmetry_Int_Tables_number 1
loop_
_symmetry_equiv_pos_as_xyz
'x,y,z'
loop_
_atom_site_label
_atom_site_type_symbol
_atom_site_fract_x
_atom_site_fract_y
_atom_site_fract_z
Ca1 Ca 0.000 0.000 0.000
Rh1 Rh 0.500 0.500 0.500
Ga1 Ga 0.000 0.500 0.000
Ga2 Ga 0.000 0.000 0.500
Ga3 Ga 0.500 0.000 0.000

***

(3)
# CaGa2Rh (PBE-GGA, relaxed)
# E   -17.4 eV per cell
# Crystal system   tetragonal
# ΔE_f   -509.1 meV/atom
data_CaGa2Rh
_cell_length_a 3.219
_cell_length_b 3.219
_cell_length_c 7.114
_cell_angle_alpha 90.00
_cell_angle_beta 90.00
_cell_angle_gamma 90.00
_symmetry_space_group_name_H-M 'P 1'
_symmetry_Int_Tables_number 1
loop_
_symmetry_equiv_pos_as_xyz
'x,y,z'
loop_
_atom_site_label
_atom_site_type_symbol
_atom_site_fract_x
_atom_site_fract_y
_atom_site_fract_z
Ca1 Ca 0.500 0.500 0.500
Rh1 Rh 0.500 0.500 0.000
Ga1 Ga 0.000 0.000 0.806
Ga2 Ga 0.000 0.000 0.194

***

(4)
# Ca3Ga2Rh2 (PBE-GGA, relaxed)
# E   -124.7 eV per cell
# Crystal system   orthorhombic
# ΔE_f   -631.7 meV/atom
data_Ca3Ga2Rh2
_cell_length_a 5.789
_cell_length_b 7.792
_cell_length_c 13.903
_cell_angle_alpha 90.00
_cell_angle_beta 90.00
_cell_angle_gamma 90.00
_symmetry_space_group_name_H-M 'P 1'
_symmetry_Int_Tables_number 1
loop_
_symmetry_equiv_pos_as_xyz
'x,y,z'
loop_
_atom_site_label
_atom_site_type_symbol
_atom_site_fract_x
_atom_site_fract_y
_atom_site_fract_z
Ca1 Ca 0.142 0.603 0.097
Ca2 Ca 0.858 0.397 0.597
Ca3 Ca 0.858 0.103 0.403
Ca4 Ca 0.142 0.897 0.903
Ca5 Ca 0.858 0.397 0.903
Ca6 Ca 0.142 0.603 0.403
Ca7 Ca 0.142 0.897 0.597
Ca8 Ca 0.858 0.103 0.097
Ca9 Ca 0.372 0.254 0.250
Ca10 Ca 0.628 0.746 0.750
Ca11 Ca 0.628 0.754 0.250
Ca12 Ca 0.372 0.246 0.750
Ga1 Ga 0.397 0.250 0.000
Ga2 Ga 0.603 0.750 0.500
Ga3 Ga 0.603 0.750 0.000
Ga4 Ga 0.397 0.250 0.500
Ga5 Ga 0.846 0.406 0.250
Ga6 Ga 0.154 0.594 0.750
Ga7 Ga 0.154 0.906 0.250
Ga8 Ga 0.846 0.094 0.750
Rh1 Rh 0.642 0.470 0.093
Rh2 Rh 0.358 0.530 0.593
Rh3 Rh 0.358 0.970 0.407
Rh4 Rh 0.642 0.030 0.907
Rh5 Rh 0.358 0.530 0.907
Rh6 Rh 0.642 0.470 0.407
Rh7 Rh 0.642 0.030 0.593
Rh8 Rh 0.358 0.970 0.093

***

(5)
# Ca2GaRh (PBE-GGA, relaxed)
# E   -33.0 eV per cell
# Crystal system   monoclinic
# ΔE_f   -526.8 meV/atom
data_Ca2GaRh
_cell_length_a 4.213
_cell_length_b 5.886
_cell_length_c 8.650
_cell_angle_alpha 112.32
_cell_angle_beta 90.00
_cell_angle_gamma 90.00
_symmetry_space_group_name_H-M 'P 1'
_symmetry_Int_Tables_number 1
loop_
_symmetry_equiv_pos_as_xyz
'x,y,z'
loop_
_atom_site_label
_atom_site_type_symbol
_atom_site_fract_x
_atom_site_fract_y
_atom_site_fract_z
Ca1 Ca 0.750 0.223 0.425
Ca2 Ca 0.250 0.777 0.575
Ca3 Ca 0.250 0.797 0.069
Ca4 Ca 0.750 0.203 0.931
Ga1 Ga 0.750 0.623 0.278
Ga2 Ga 0.250 0.377 0.722
Rh1 Rh 0.250 0.386 0.221
Rh2 Rh 0.750 0.614 0.779

***

(6)
# CaGa2Rh (PBE-GGA, relaxed)
# E   -17.8 eV per cell
# Crystal system   trigonal
# ΔE_f   -597.0 meV/atom
data_CaGa2Rh
_cell_length_a 4.255
_cell_length_b 4.255
_cell_length_c 5.740
_cell_angle_alpha 68.24
_cell_angle_beta 68.24
_cell_angle_gamma 60.00
_symmetry_space_group_name_H-M 'P 1'
_symmetry_Int_Tables_number 1
loop_
_symmetry_equiv_pos_as_xyz
'x,y,z'
loop_
_atom_site_label
_atom_site_type_symbol
_atom_site_fract_x
_atom_site_fract_y
_atom_site_fract_z
Ca1 Ca 0.500 0.500 0.500
Rh1 Rh 0.000 0.000 0.000
Ga1 Ga 0.291 0.291 0.128
Ga2 Ga 0.709 0.709 0.872

***

(7)
# Ca2GaRh2 (PBE-GGA, relaxed)
# E   -22.9 eV per cell
# Crystal system   tetragonal
# ΔE_f   -239.9 meV/atom
data_Ca2GaRh2
_cell_length_a 5.593
_cell_length_b 5.593
_cell_length_c 5.420
_cell_angle_alpha 58.94
_cell_angle_beta 58.94
_cell_angle_gamma 90.00
_symmetry_space_group_name_H-M 'P 1'
_symmetry_Int_Tables_number 1
loop_
_symmetry_equiv_pos_as_xyz
'x,y,z'
loop_
_atom_site_label
_atom_site_type_symbol
_atom_site_fract_x
_atom_site_fract_y
_atom_site_fract_z
Ca1 Ca 0.750 0.250 0.500
Ca2 Ca 0.250 0.750 0.500
Rh1 Rh 0.324 0.324 0.353
Rh2 Rh 0.676 0.676 0.647
Ga1 Ga 0.000 0.000 0.000

***

(8)
# Ca2GaRh (PBE-GGA, relaxed)
# E   -16.4 eV per cell
# Crystal system   monoclinic
# ΔE_f   -507.0 meV/atom
data_Ca2GaRh
_cell_length_a 4.273
_cell_length_b 4.273
_cell_length_c 7.642
_cell_angle_alpha 73.59
_cell_angle_beta 73.59
_cell_angle_gamma 60.01
_symmetry_space_group_name_H-M 'P 1'
_symmetry_Int_Tables_number 1
loop_
_symmetry_equiv_pos_as_xyz
'x,y,z'
loop_
_atom_site_label
_atom_site_type_symbol
_atom_site_fract_x
_atom_site_fract_y
_atom_site_fract_z
Ca1 Ca 0.036 0.036 0.889
Ca2 Ca 0.214 0.214 0.360
Ga1 Ga 0.792 0.792 0.624
Rh1 Rh 0.458 0.458 0.627